# 1
{"formula": "La2AlTe", "functional": "PBE-GGA", "state": "relaxed", "e_above_lowest_polymorph_mev_per_atom": 0, "raw_formation_energy_ev_per_atom": -0.972, "dft_energy_ev_per_atom": -5.1565, "lattice": [[2.3454, -12.3823, 0.0000], [2.3454, 12.3823, 0.0000], [0.0000, 0.0000, 4.4342]], "species": ["La", "La", "La", "La", "Al", "Al", "Te", "Te"], "frac_coords": [[0.0625, 0.9375, 0.7500], [0.3233, 0.6767, 0.7500], [0.6767, 0.3233, 0.2500], [0.9375, 0.0625, 0.2500], [0.4659, 0.5341, 0.7500], [0.5341, 0.4659, 0.2500], [0.1922, 0.8078, 0.7500], [0.8078, 0.1922, 0.2500]]}

---

# 2
{"formula": "Mg2BeTl", "functional": "PBE-GGA", "state": "relaxed", "ef_ev_per_atom": 0.315, "e_above_lowest_polymorph_mev_per_atom": 99, "dft_energy_ev_per_atom": -2.0050, "lattice": [[0.0000, 3.4022, 3.4022], [3.4022, 0.0000, 3.4022], [3.4022, 3.4022, 0.0000]], "species": ["Mg", "Mg", "Be", "Tl"], "frac_coords": [[0.2500, 0.2500, 0.2500], [0.7500, 0.7500, 0.7500], [0.0000, 0.0000, 0.0000], [0.5000, 0.5000, 0.5000]]}

---

# 3
{"formula": "Pm3SbRh8", "functional": "PBE-GGA", "state": "relaxed", "raw_formation_energy_ev_per_atom": -0.548, "dft_energy_ev_per_atom": -6.9800, "lattice": [[2.6993, 1.5585, 8.7340], [-2.6993, 1.5585, 8.7340], [0.0000, -3.1169, 8.7340]], "species": ["Pm", "Pm", "Pm", "Sb", "Rh", "Rh", "Rh", "Rh", "Rh", "Rh", "Rh", "Rh"], "frac_coords": [[0.0000, 0.0000, 0.0000], [0.1282, 0.1282, 0.1282], [0.6159, 0.6159, 0.6159], [0.4882, 0.4882, 0.4882], [0.0617, 0.0617, 0.5627], [0.0617, 0.5627, 0.0617], [0.0622, 0.5629, 0.5629], [0.3124, 0.3124, 0.3124], [0.5627, 0.0617, 0.0617], [0.5629, 0.0622, 0.5629], [0.5629, 0.5629, 0.0622], [0.8134, 0.8134, 0.8134]]}

---

# 4
{"formula": "Sm2Tm7Cd2", "functional": "PBE-GGA", "state": "relaxed", "ef_ev_per_atom": 0.041, "dft_energy_ev_per_atom": -3.8290, "lattice": [[4.5660, -4.6946, 0.0000], [4.5660, 4.6946, 0.0000], [-2.0360, 0.0000, 7.6812]], "species": ["Sm", "Sm", "Tm", "Tm", "Tm", "Tm", "Tm", "Tm", "Tm", "Cd", "Cd"], "frac_coords": [[0.1800, 0.8200, 0.0000], [0.8200, 0.1800, 0.0000], [0.0000, 0.0000, 0.5000], [0.1189, 0.5219, 0.3286], [0.3054, 0.3054, 0.9641], [0.4781, 0.8811, 0.6714], [0.5219, 0.1189, 0.3286], [0.6946, 0.6946, 0.0359], [0.8811, 0.4781, 0.6714], [0.3989, 0.3989, 0.6456], [0.6011, 0.6011, 0.3544]]}

---

# 5
{"formula": "InBSb2Te", "functional": "PBE-GGA", "state": "relaxed", "e_above_lowest_polymorph_mev_per_atom": 993, "raw_formation_energy_ev_per_atom": 1.601, "dft_energy_ev_per_atom": -2.5596, "lattice": [[5.7250, 0.0000, 0.0000], [0.0000, 5.7250, 0.0000], [0.0000, 0.0000, 5.9252]], "species": ["In", "B", "Sb", "Sb", "Te"], "frac_coords": [[0.0000, 0.0000, 0.0000], [0.5000, 0.5000, 0.5000], [0.0000, 0.5000, 0.0000], [0.5000, 0.0000, 0.0000], [0.0000, 0.0000, 0.5000]]}

---

# 6
{"formula": "Tb4Bi2B", "functional": "PBE-GGA", "state": "relaxed", "ef_ev_per_atom": -0.583, "dft_energy_ev_per_atom": -5.2913, "lattice": [[-2.4882, 2.4882, 8.0751], [2.4882, -2.4882, 8.0751], [2.4882, 2.4882, -8.0751]], "species": ["Tb", "Tb", "Tb", "Tb", "Bi", "Bi", "B"], "frac_coords": [[0.0000, 0.5000, 0.5000], [0.1584, 0.1584, 0.0000], [0.5000, 0.0000, 0.5000], [0.8416, 0.8416, 0.0000], [0.3582, 0.3582, 0.0000], [0.6418, 0.6418, 0.0000], [0.0000, 0.0000, 0.0000]]}

---

# 7
{"formula": "NaPr2WN4", "functional": "PBE-GGA", "state": "relaxed", "raw_formation_energy_ev_per_atom": -0.831, "dft_energy_ev_per_atom": -7.9727, "lattice": [[-2.7894, 2.7894, 4.7760], [2.7894, -2.7894, 4.7760], [2.7894, 2.7894, -4.7760]], "species": ["Na", "Pr", "Pr", "W", "N", "N", "N", "N"], "frac_coords": [[0.0000, 0.0000, 0.0000], [0.2500, 0.7500, 0.5000], [0.7500, 0.2500, 0.5000], [0.5000, 0.5000, 0.0000], [0.1878, 0.5911, 0.0000], [0.4089, 0.4089, 0.5967], [0.5911, 0.1878, 0.0000], [0.8122, 0.8122, 0.4033]]}

---

# 8
{"formula": "AcPrSnGe", "functional": "PBE-GGA", "state": "relaxed", "ef_ev_per_atom": -0.513, "dft_energy_ev_per_atom": -4.8903, "lattice": [[0.0000, 3.9282, 3.9282], [3.9282, 0.0000, 3.9282], [3.9282, 3.9282, 0.0000]], "species": ["Ac", "Pr", "Sn", "Ge"], "frac_coords": [[0.0000, 0.0000, 0.0000], [0.5000, 0.5000, 0.5000], [0.2500, 0.2500, 0.2500], [0.7500, 0.7500, 0.7500]]}

---

# 9
{"formula": "LiBe2W", "functional": "PBE-GGA", "state": "relaxed", "ef_ev_per_atom": 0.277, "e_above_lowest_polymorph_mev_per_atom": 102, "dft_energy_ev_per_atom": -5.3033, "lattice": [[-1.2432, 2.1593, 4.3636], [1.2432, -2.1593, 4.3636], [1.2432, 2.1593, -4.3636]], "species": ["Li", "Be", "Be", "W"], "frac_coords": [[0.0000, 0.0000, 0.0000], [0.5483, 0.5483, 0.0000], [0.7584, 0.2584, 0.5000], [0.2914, 0.7914, 0.5000]]}

---

# 10
{"formula": "DyNpSc2As4", "functional": "PBE-GGA", "state": "relaxed", "ef_ev_per_atom": -1.228, "dft_energy_ev_per_atom": -7.3286, "lattice": [[6.9028, 0.0000, 0.0000], [0.0000, 3.9925, 0.0000], [-2.2994, 0.0000, 6.5406]], "species": ["Dy", "Np", "Sc", "Sc", "As", "As", "As", "As"], "frac_coords": [[0.0000, 0.0000, 0.0000], [0.0000, 0.5000, 0.5000], [0.5000, 0.0000, 0.5000], [0.5000, 0.5000, 0.0000], [0.2634, 0.5000, 0.2569], [0.2640, 0.0000, 0.7537], [0.7360, 0.0000, 0.2463], [0.7366, 0.5000, 0.7431]]}

---

# 11
{"formula": "ZnRu2Se", "functional": "PBE-GGA", "state": "relaxed", "e_above_lowest_polymorph_mev_per_atom": 76, "raw_formation_energy_ev_per_atom": 0.166, "dft_energy_ev_per_atom": -5.6615, "lattice": [[4.0383, -1.4764, 0.0000], [4.0383, 1.4764, 0.0000], [-0.9274, 0.0000, 5.0024]], "species": ["Zn", "Ru", "Ru", "Se"], "frac_coords": [[0.0000, 0.0000, 0.0000], [0.2479, 0.2479, 0.7289], [0.7521, 0.7521, 0.2711], [0.5000, 0.5000, 0.5000]]}

---

# 12
{"formula": "HoZr7Tl4", "functional": "PBE-GGA", "state": "relaxed", "ef_ev_per_atom": 0.241, "dft_energy_ev_per_atom": -5.9160, "lattice": [[5.7420, -2.7309, 0.0000], [5.7420, 2.7309, 0.0000], [-5.7258, 0.0000, 9.5874]], "species": ["Ho", "Zr", "Zr", "Zr", "Zr", "Zr", "Zr", "Zr", "Tl", "Tl", "Tl", "Tl"], "frac_coords": [[0.0000, 0.0000, 0.0000], [0.0359, 0.0359, 0.3774], [0.2192, 0.2192, 0.9034], [0.3530, 0.3530, 0.4455], [0.5000, 0.5000, 0.0000], [0.6470, 0.6470, 0.5545], [0.7808, 0.7808, 0.0966], [0.9641, 0.9641, 0.6226], [0.2849, 0.2849, 0.6770], [0.4076, 0.4076, 0.2183], [0.5924, 0.5924, 0.7817], [0.7151, 0.7151, 0.3230]]}